An optimized crystal structure of CsLaMo2O8, computed with PBE+U.

Values from the calculation:
- Uncorrected energy: -170.991 eV for the cell shown
- Symmetry: C2/c (15)
- Magnetization: 0.00 μB/atom

a = 7.799 Å, b = 7.799 Å, c = 8.083 Å
α = 61.98°, β = 61.98°, γ = 88.61°
Atoms (fractional coordinates):
O (0.784, 0.932, 0.709)
O (0.372, 0.581, 0.470)
O (0.628, 0.419, 0.530)
O (0.920, 0.616, 0.634)
O (0.216, 0.068, 0.291)
O (0.419, 0.628, 0.030)
O (0.609, 0.756, 0.578)
O (0.080, 0.384, 0.366)
O (0.581, 0.372, 0.970)
O (0.932, 0.784, 0.209)
O (0.391, 0.244, 0.422)
O (0.068, 0.216, 0.791)
O (0.756, 0.609, 0.078)
O (0.616, 0.920, 0.134)
O (0.244, 0.391, 0.922)
O (0.384, 0.080, 0.866)
Mo (0.312, 0.313, 0.731)
Mo (0.313, 0.312, 0.231)
Mo (0.688, 0.687, 0.269)
Mo (0.687, 0.688, 0.769)
Cs (0.809, 0.191, 0.250)
Cs (0.191, 0.809, 0.750)
La (0.228, 0.772, 0.250)
La (0.772, 0.228, 0.750)